Entry from the Alexandria database: a relaxed PmErTmRu crystal (PBE).

The space group is P4mm (No. 99) and the conventional cell measures 3.416, 3.416 and 8.921 Å, with angles of 90.00, 90.00 and 90.00 degrees. The asymmetric unit holds Pm at (0.000, 0.000, 0.000), Er at (0.500, 0.500, 0.680), Tm at (0.500, 0.500, 0.318) and Ru at (0.000, 0.000, 0.498).

The size of the total moment comes out at 0.00 Bohr magnetons per cell. The crystal system is tetragonal. For the density of states at the Fermi level, the calculation gives 0.653 states/eV/atom. The calculation puts the formation energy at -0.27 eV/atom. The value obtained for the density is 9.3 g cm⁻³.

=====

Entry from the Alexandria database: a relaxed PmErZnRu crystal (PBE).

The space group is F-43m (No. 216) and the conventional cell measures 7.015, 7.015 and 7.015 Å, with angles of 90.00, 90.00 and 90.00 degrees. The asymmetric unit holds Pm at (0.000, 0.000, 0.000), Er at (0.000, 0.000, 0.500), Zn at (0.250, 0.250, 0.250) and Ru at (0.250, 0.250, 0.750).

As for the relative energy among the computed polymorphs: 0.0 meV per atom. The size of the total moment comes out at 0.00 Bohr magnetons per cell. The crystal system is cubic. For the density of states at the Fermi level, the calculation gives 0.737 states/eV/atom. The calculation puts the formation energy at -0.31 eV/atom. The value obtained for the density is 9.2 g cm⁻³.

=====

Entry from the Alexandria database: a relaxed PmErZnRu crystal (PBE).

The space group is Amm2 (No. 38) and the conventional cell measures 4.312, 3.964 and 10.642 Å, with angles of 90.00, 90.00 and 90.00 degrees. The asymmetric unit holds Pm at (0.000, 0.000, 0.000), Er at (0.500, 0.000, 0.283), Zn at (0.500, 0.000, 0.579) and Ru at (0.000, 0.000, 0.723).

As for the relative energy among the computed polymorphs: 13.2 meV per atom. The size of the total moment comes out at 0.00 Bohr magnetons per cell. The crystal system is orthorhombic. For the density of states at the Fermi level, the calculation gives 1.099 states/eV/atom. The calculation puts the formation energy at -0.30 eV/atom. The value obtained for the density is 8.7 g cm⁻³.

=====

Entry from the Alexandria database: a relaxed PmEr3S crystal (PBE).

The space group is Pm-3m (No. 221) and the conventional cell measures 5.275, 5.275 and 5.275 Å, with angles of 90.00, 90.00 and 90.00 degrees. The asymmetric unit holds Pm at (0.000, 0.000, 0.000), Er at (0.000, 0.500, 0.500) and S at (0.500, 0.500, 0.500).

The size of the total moment comes out at 0.31 Bohr magnetons per cell. The crystal system is cubic. For the density of states at the Fermi level, the calculation gives 1.976 states/eV/atom. As for the energy relative to the elements, uncorrected: -3.2 eV/f.u. The value obtained for the density is 7.7 g cm⁻³.

=====

> size of the total moment of number 4 (PmEr3S)?

0.31 Bohr magnetons per cell